Entry 1:
# Dy5Te5Au

A relaxed Dy5Te5Au crystal (PBE, Alexandria via LeMat-Bulk).

Results
- Formation energy from raw total energies: -1.25 eV/atom

```
data_Dy5Te5Au
_symmetry_space_group_name_H-M 'C 1 2/m 1'
_symmetry_Int_Tables_number 12
_cell_length_a 13.746
_cell_length_b 6.153
_cell_length_c 8.606
_cell_angle_alpha 90.00
_cell_angle_beta 108.69
_cell_angle_gamma 90.00
loop_
_symmetry_equiv_pos_as_xyz
'x,y,z'
'-x,-y,-z'
'-x,y,-z'
'x,-y,z'
'x+1/2,y+1/2,z'
'-x+1/2,-y+1/2,-z'
'-x+1/2,y+1/2,-z'
'x+1/2,-y+1/2,z'
loop_
_atom_site_label
_atom_site_type_symbol
_atom_site_fract_x
_atom_site_fract_y
_atom_site_fract_z
_atom_site_occupancy
Dy1 Dy 0.000 0.000 0.000 1
Dy2 Dy 0.158 0.500 0.323 1
Dy3 Dy 0.158 0.500 0.839 1
Te1 Te 0.000 0.500 0.500 1
Te2 Te 0.165 0.000 0.827 1
Te3 Te 0.176 0.000 0.335 1
Au1 Au 0.000 0.500 0.000 1
```


Entry 2:
# DyTe2Au

A relaxed DyTe2Au crystal (PBE, Alexandria via LeMat-Bulk).

Results
- Formation energy from raw total energies: -0.86 eV/atom

```
data_DyTe2Au
_symmetry_space_group_name_H-M 'P 1 21/c 1'
_symmetry_Int_Tables_number 14
_cell_length_a 8.999
_cell_length_b 7.461
_cell_length_c 9.127
_cell_angle_alpha 90.00
_cell_angle_beta 119.13
_cell_angle_gamma 90.00
loop_
_symmetry_equiv_pos_as_xyz
'x,y,z'
'-x,-y,-z'
'-x,y+1/2,-z+1/2'
'x,-y+1/2,z+1/2'
loop_
_atom_site_label
_atom_site_type_symbol
_atom_site_fract_x
_atom_site_fract_y
_atom_site_fract_z
_atom_site_occupancy
Dy1 Dy 0.044 0.035 0.318 1
Te1 Te 0.217 0.231 0.660 1
Te2 Te 0.306 0.737 0.394 1
Au1 Au 0.115 0.660 0.561 1
```


Entry 3:
# Dy3TeAu

A relaxed Dy3TeAu crystal (PBE, Alexandria via LeMat-Bulk).

Results
- Formation energy from raw total energies: -0.85 eV/atom

```
data_Dy3TeAu
_symmetry_space_group_name_H-M 'P n m a'
_symmetry_Int_Tables_number 62
_cell_length_a 11.906
_cell_length_b 3.949
_cell_length_c 11.963
_cell_angle_alpha 90.00
_cell_angle_beta 90.00
_cell_angle_gamma 90.00
loop_
_symmetry_equiv_pos_as_xyz
'x,y,z'
'-x,-y,-z'
'-x+1/2,-y,z+1/2'
'x+1/2,y,-z+1/2'
'x+1/2,-y+1/2,-z+1/2'
'-x+1/2,y+1/2,z+1/2'
'-x,y+1/2,-z'
'x,-y+1/2,z'
loop_
_atom_site_label
_atom_site_type_symbol
_atom_site_fract_x
_atom_site_fract_y
_atom_site_fract_z
_atom_site_occupancy
Dy1 Dy 0.047 0.250 0.125 1
Dy2 Dy 0.153 0.750 0.556 1
Dy3 Dy 0.225 0.250 0.793 1
Te1 Te 0.015 0.750 0.330 1
Au1 Au 0.178 0.750 0.988 1
```


Entry 4:
# Dy4Te3Au

A relaxed Dy4Te3Au crystal (PBE, Alexandria via LeMat-Bulk).

Results
- Formation energy from raw total energies: -1.19 eV/atom

```
data_Dy4Te3Au
_symmetry_space_group_name_H-M 'C m m m'
_symmetry_Int_Tables_number 65
_symmetry_space_group_name_Hall '-C 2 2'
_cell_length_a 8.900
_cell_length_b 12.301
_cell_length_c 4.203
_cell_angle_alpha 90.00
_cell_angle_beta 90.00
_cell_angle_gamma 90.00
loop_
_atom_site_label
_atom_site_type_symbol
_atom_site_fract_x
_atom_site_fract_y
_atom_site_fract_z
_atom_site_occupancy
Dy1 Dy 0.000 0.240 0.000 1
Dy2 Dy 0.227 0.000 0.500 1
Te1 Te 0.000 0.500 0.000 1
Te2 Te 0.250 0.250 0.500 1
Au1 Au 0.000 0.000 0.000 1
```


no.,size of the total moment (Bohr magnetons per cell)
1,0.0
2,0.0
3,0.0
4,0.0